# PBE NbTePt, optimized geometry
# Calculated volume = 22.2 A^3/atom
# Relative energy among the computed polymorphs = 0 meV/atom
# VASP energy = -6.50 eV/atom
data_NbTePt
_cell_length_a 6.4379
_cell_length_b 6.4379
_cell_length_c 6.4379
_cell_angle_alpha 90.00
_cell_angle_beta 90.00
_cell_angle_gamma 90.00
_space_group_name_H-M_alt 'F -4 3 m'
_space_group_IT_number 216
_space_group_name_Hall 'F -4 2 3'
loop_
_atom_site_label
_atom_site_type_symbol
_atom_site_fract_x
_atom_site_fract_y
_atom_site_fract_z
Nb1 Nb 0.0000 0.0000 0.0000
Te1 Te 0.2500 0.2500 0.2500
Pt1 Pt 0.2500 0.2500 0.7500



# PBE NbTlTe3Pt, optimized geometry
# Calculated volume = 27.7 A^3/atom
# VASP energy = -5.03 eV/atom
data_NbTlTe3Pt
_cell_length_a 8.6989
_cell_length_b 3.9157
_cell_length_c 10.6732
_cell_angle_alpha 90.00
_cell_angle_beta 113.89
_cell_angle_gamma 90.00
_space_group_name_H-M_alt 'P 1 21/m 1'
_space_group_IT_number 11
loop_
_space_group_symop_operation_xyz
'x,y,z'
'-x,-y,-z'
'-x,y+1/2,-z'
'x,-y+1/2,z'
loop_
_atom_site_label
_atom_site_type_symbol
_atom_site_fract_x
_atom_site_fract_y
_atom_site_fract_z
Nb1 Nb 0.2212 0.2500 0.1836
Tl1 Tl 0.2120 0.7500 0.7119
Te1 Te 0.0495 0.2500 0.8835
Te2 Te 0.2427 0.2500 0.4469
Te3 Te 0.4262 0.7500 0.1380
Pt1 Pt 0.4185 0.7500 0.3847



# PBE ThNbPt, optimized geometry
# Calculated volume = 25.4 A^3/atom
# Relative energy among the computed polymorphs = 0 meV/atom
# VASP energy = -7.89 eV/atom
data_ThNbPt
_cell_length_a 6.7270
_cell_length_b 6.7270
_cell_length_c 6.7270
_cell_angle_alpha 90.00
_cell_angle_beta 90.00
_cell_angle_gamma 90.00
_space_group_name_H-M_alt 'F -4 3 m'
_space_group_IT_number 216
_space_group_name_Hall 'F -4 2 3'
loop_
_atom_site_label
_atom_site_type_symbol
_atom_site_fract_x
_atom_site_fract_y
_atom_site_fract_z
Th1 Th 0.0000 0.0000 0.0000
Nb1 Nb 0.0000 0.0000 0.5000
Pt1 Pt 0.2500 0.2500 0.7500



# PBE ThNbPt, optimized geometry
# Calculated volume = 24.8 A^3/atom
# Relative energy among the computed polymorphs = 495 meV/atom
# VASP energy = -7.39 eV/atom
data_ThNbPt
_cell_length_a 6.6733
_cell_length_b 6.6733
_cell_length_c 6.6733
_cell_angle_alpha 90.00
_cell_angle_beta 90.00
_cell_angle_gamma 90.00
_space_group_name_H-M_alt 'F -4 3 m'
_space_group_IT_number 216
_space_group_name_Hall 'F -4 2 3'
loop_
_atom_site_label
_atom_site_type_symbol
_atom_site_fract_x
_atom_site_fract_y
_atom_site_fract_z
Th1 Th 0.0000 0.0000 0.0000
Nb1 Nb 0.2500 0.2500 0.7500
Pt1 Pt 0.2500 0.2500 0.2500



# PBE NbTl2Pt, optimized geometry
# Calculated volume = 20.6 A^3/atom
# VASP energy = -4.79 eV/atom
data_NbTl2Pt
_cell_length_a 6.9037
_cell_length_b 6.9037
_cell_length_c 6.9037
_cell_angle_alpha 90.00
_cell_angle_beta 90.00
_cell_angle_gamma 90.00
_space_group_name_H-M_alt 'F -4 3 m'
_space_group_IT_number 216
_space_group_name_Hall 'F -4 2 3'
loop_
_atom_site_label
_atom_site_type_symbol
_atom_site_fract_x
_atom_site_fract_y
_atom_site_fract_z
Nb1 Nb 0.0000 0.0000 0.0000
Tl1 Tl 0.0000 0.0000 0.5000
Tl2 Tl 0.2500 0.2500 0.7500
Pt1 Pt 0.2500 0.2500 0.2500



# PBE NbPt6W, optimized geometry
# Calculated volume = 15.6 A^3/atom
# VASP energy = -7.85 eV/atom
data_NbPt6W
_cell_length_a 5.5758
_cell_length_b 5.5758
_cell_length_c 4.6247
_cell_angle_alpha 90.00
_cell_angle_beta 90.00
_cell_angle_gamma 120.00
_space_group_name_H-M_alt 'P -6 m 2'
_space_group_IT_number 187
_space_group_name_Hall 'P -6 2'
loop_
_atom_site_label
_atom_site_type_symbol
_atom_site_fract_x
_atom_site_fract_y
_atom_site_fract_z
Nb1 Nb 0.0000 0.0000 0.0000
Pt1 Pt 0.1640 0.3280 0.5000
Pt2 Pt 0.5049 0.0099 0.0000
W1 W 0.6667 0.3333 0.5000



# PBE NbPtW, optimized geometry
# Calculated volume = 19.4 A^3/atom
# Relative energy among the computed polymorphs = 0 meV/atom
# VASP energy = -9.19 eV/atom
data_NbPtW
_cell_length_a 6.1560
_cell_length_b 6.1560
_cell_length_c 6.1560
_cell_angle_alpha 90.00
_cell_angle_beta 90.00
_cell_angle_gamma 90.00
_space_group_name_H-M_alt 'F -4 3 m'
_space_group_IT_number 216
_space_group_name_Hall 'F -4 2 3'
loop_
_atom_site_label
_atom_site_type_symbol
_atom_site_fract_x
_atom_site_fract_y
_atom_site_fract_z
Nb1 Nb 0.0000 0.0000 0.0000
Pt1 Pt 0.2500 0.2500 0.2500
W1 W 0.0000 0.0000 0.5000



# PBE YNbPt2, optimized geometry
# Calculated volume = 17.9 A^3/atom
# VASP energy = -7.64 eV/atom
data_YNbPt2
_cell_length_a 6.5941
_cell_length_b 6.5941
_cell_length_c 6.5941
_cell_angle_alpha 90.00
_cell_angle_beta 90.00
_cell_angle_gamma 90.00
_space_group_name_H-M_alt 'F -4 3 m'
_space_group_IT_number 216
_space_group_name_Hall 'F -4 2 3'
loop_
_atom_site_label
_atom_site_type_symbol
_atom_site_fract_x
_atom_site_fract_y
_atom_site_fract_z
Y1 Y 0.0000 0.0000 0.0000
Nb1 Nb 0.2500 0.2500 0.7500
Pt1 Pt 0.0000 0.0000 0.5000
Pt2 Pt 0.2500 0.2500 0.2500



# PBE YNb2Pt, optimized geometry
# Calculated volume = 19.1 A^3/atom
# VASP energy = -8.36 eV/atom
data_YNb2Pt
_cell_length_a 6.7307
_cell_length_b 6.7307
_cell_length_c 6.7307
_cell_angle_alpha 90.00
_cell_angle_beta 90.00
_cell_angle_gamma 90.00
_space_group_name_H-M_alt 'F -4 3 m'
_space_group_IT_number 216
_space_group_name_Hall 'F -4 2 3'
loop_
_atom_site_label
_atom_site_type_symbol
_atom_site_fract_x
_atom_site_fract_y
_atom_site_fract_z
Y1 Y 0.0000 0.0000 0.0000
Nb1 Nb 0.0000 0.0000 0.5000
Nb2 Nb 0.2500 0.2500 0.7500
Pt1 Pt 0.2500 0.2500 0.2500



# PBE Y2NbPt, optimized geometry
# Calculated volume = 21.1 A^3/atom
# VASP energy = -7.31 eV/atom
data_Y2NbPt
_cell_length_a 6.9618
_cell_length_b 6.9618
_cell_length_c 6.9618
_cell_angle_alpha 90.00
_cell_angle_beta 90.00
_cell_angle_gamma 90.00
_space_group_name_H-M_alt 'F -4 3 m'
_space_group_IT_number 216
_space_group_name_Hall 'F -4 2 3'
loop_
_atom_site_label
_atom_site_type_symbol
_atom_site_fract_x
_atom_site_fract_y
_atom_site_fract_z
Y1 Y 0.0000 0.0000 0.0000
Y2 Y 0.2500 0.2500 0.2500
Nb1 Nb 0.0000 0.0000 0.5000
Pt1 Pt 0.2500 0.2500 0.7500



# PBE NbZnPt2, optimized geometry
# Calculated volume = 15.9 A^3/atom
# VASP energy = -6.23 eV/atom
data_NbZnPt2
_cell_length_a 6.3306
_cell_length_b 6.3306
_cell_length_c 6.3306
_cell_angle_alpha 90.00
_cell_angle_beta 90.00
_cell_angle_gamma 90.00
_space_group_name_H-M_alt 'F -4 3 m'
_space_group_IT_number 216
_space_group_name_Hall 'F -4 2 3'
loop_
_atom_site_label
_atom_site_type_symbol
_atom_site_fract_x
_atom_site_fract_y
_atom_site_fract_z
Nb1 Nb 0.0000 0.0000 0.0000
Zn1 Zn 0.2500 0.2500 0.7500
Pt1 Pt 0.0000 0.0000 0.5000
Pt2 Pt 0.2500 0.2500 0.2500



# PBE NbZnPt2, optimized geometry
# Calculated volume = 15.6 A^3/atom
# VASP energy = -6.51 eV/atom
data_NbZnPt2
_cell_length_a 2.8606
_cell_length_b 2.8606
_cell_length_c 7.6152
_cell_angle_alpha 90.00
_cell_angle_beta 90.00
_cell_angle_gamma 90.00
_space_group_name_H-M_alt 'P 4/m m m'
_space_group_IT_number 123
_space_group_name_Hall '-P 4 2'
loop_
_atom_site_label
_atom_site_type_symbol
_atom_site_fract_x
_atom_site_fract_y
_atom_site_fract_z
Nb1 Nb 0.0000 0.0000 0.0000
Zn1 Zn 0.0000 0.0000 0.5000
Pt1 Pt 0.5000 0.5000 0.2603



# PBE Zr3Nb2Pt2, optimized geometry
# Calculated volume = 20.2 A^3/atom
# VASP energy = -8.33 eV/atom
data_Zr3Nb2Pt2
_cell_length_a 4.6539
_cell_length_b 4.6539
_cell_length_c 22.6066
_cell_angle_alpha 90.00
_cell_angle_beta 90.00
_cell_angle_gamma 120.00
_space_group_name_H-M_alt 'R 3 m'
_space_group_IT_number 160
_space_group_name_Hall 'R 3 -2"'
loop_
_atom_site_label
_atom_site_type_symbol
_atom_site_fract_x
_atom_site_fract_y
_atom_site_fract_z
Zr1 Zr 0.0000 0.0000 0.0000
Zr2 Zr 0.0000 0.0000 0.2488
Zr3 Zr 0.0000 0.0000 0.4994
Nb1 Nb 0.0000 0.0000 0.1184
Nb2 Nb 0.0000 0.0000 0.6310
Pt1 Pt 0.0000 0.0000 0.3810
Pt2 Pt 0.0000 0.0000 0.8707



# PBE ZrNbPt2, optimized geometry
# Calculated volume = 17.2 A^3/atom
# VASP energy = -8.21 eV/atom
data_ZrNbPt2
_cell_length_a 6.5048
_cell_length_b 6.5048
_cell_length_c 6.5048
_cell_angle_alpha 90.00
_cell_angle_beta 90.00
_cell_angle_gamma 90.00
_space_group_name_H-M_alt 'F -4 3 m'
_space_group_IT_number 216
_space_group_name_Hall 'F -4 2 3'
loop_
_atom_site_label
_atom_site_type_symbol
_atom_site_fract_x
_atom_site_fract_y
_atom_site_fract_z
Zr1 Zr 0.0000 0.0000 0.0000
Nb1 Nb 0.2500 0.2500 0.7500
Pt1 Pt 0.0000 0.0000 0.5000
Pt2 Pt 0.2500 0.2500 0.2500



# PBE PuNbSb, optimized geometry
# Calculated volume = 25.0 A^3/atom
# VASP energy = -9.32 eV/atom
data_PuNbSb
_cell_length_a 6.6976
_cell_length_b 6.6976
_cell_length_c 6.6976
_cell_angle_alpha 90.00
_cell_angle_beta 90.00
_cell_angle_gamma 90.00
_space_group_name_H-M_alt 'F -4 3 m'
_space_group_IT_number 216
_space_group_name_Hall 'F -4 2 3'
loop_
_atom_site_label
_atom_site_type_symbol
_atom_site_fract_x
_atom_site_fract_y
_atom_site_fract_z
Pu1 Pu 0.0000 0.0000 0.0000
Nb1 Nb 0.2500 0.2500 0.2500
Sb1 Sb 0.0000 0.0000 0.5000



# PBE PuNbSi, optimized geometry
# Calculated volume = 21.5 A^3/atom
# VASP energy = -9.82 eV/atom
data_PuNbSi
_cell_length_a 6.3667
_cell_length_b 6.3667
_cell_length_c 6.3667
_cell_angle_alpha 90.00
_cell_angle_beta 90.00
_cell_angle_gamma 90.00
_space_group_name_H-M_alt 'F -4 3 m'
_space_group_IT_number 216
_space_group_name_Hall 'F -4 2 3'
loop_
_atom_site_label
_atom_site_type_symbol
_atom_site_fract_x
_atom_site_fract_y
_atom_site_fract_z
Pu1 Pu 0.0000 0.0000 0.0000
Nb1 Nb 0.0000 0.0000 0.5000
Si1 Si 0.2500 0.2500 0.7500



# PBE PuNbSi, optimized geometry
# Calculated volume = 20.6 A^3/atom
# VASP energy = -9.04 eV/atom
data_PuNbSi
_cell_length_a 6.2809
_cell_length_b 6.2809
_cell_length_c 6.2809
_cell_angle_alpha 90.00
_cell_angle_beta 90.00
_cell_angle_gamma 90.00
_space_group_name_H-M_alt 'F -4 3 m'
_space_group_IT_number 216
_space_group_name_Hall 'F -4 2 3'
loop_
_atom_site_label
_atom_site_type_symbol
_atom_site_fract_x
_atom_site_fract_y
_atom_site_fract_z
Pu1 Pu 0.0000 0.0000 0.0000
Nb1 Nb 0.2500 0.2500 0.7500
Si1 Si 0.2500 0.2500 0.2500



# PBE SmPuNb, optimized geometry
# Calculated volume = 27.9 A^3/atom
# Relative energy among the computed polymorphs = 0 meV/atom
# VASP energy = -8.87 eV/atom
data_SmPuNb
_cell_length_a 6.9476
_cell_length_b 6.9476
_cell_length_c 6.9476
_cell_angle_alpha 90.00
_cell_angle_beta 90.00
_cell_angle_gamma 90.00
_space_group_name_H-M_alt 'F -4 3 m'
_space_group_IT_number 216
_space_group_name_Hall 'F -4 2 3'
loop_
_atom_site_label
_atom_site_type_symbol
_atom_site_fract_x
_atom_site_fract_y
_atom_site_fract_z
Sm1 Sm 0.0000 0.0000 0.0000
Pu1 Pu 0.0000 0.0000 0.5000
Nb1 Nb 0.2500 0.2500 0.7500



# PBE PuNbSn, optimized geometry
# Calculated volume = 26.5 A^3/atom
# VASP energy = -8.49 eV/atom
data_PuNbSn
_cell_length_a 6.8256
_cell_length_b 6.8256
_cell_length_c 6.8256
_cell_angle_alpha 90.00
_cell_angle_beta 90.00
_cell_angle_gamma 90.00
_space_group_name_H-M_alt 'F -4 3 m'
_space_group_IT_number 216
_space_group_name_Hall 'F -4 2 3'
loop_
_atom_site_label
_atom_site_type_symbol
_atom_site_fract_x
_atom_site_fract_y
_atom_site_fract_z
Pu1 Pu 0.0000 0.0000 0.0000
Nb1 Nb 0.2500 0.2500 0.7500
Sn1 Sn 0.2500 0.2500 0.2500



# PBE PuNbSn, optimized geometry
# Calculated volume = 25.1 A^3/atom
# VASP energy = -9.10 eV/atom
data_PuNbSn
_cell_length_a 6.7030
_cell_length_b 6.7030
_cell_length_c 6.7030
_cell_angle_alpha 90.00
_cell_angle_beta 90.00
_cell_angle_gamma 90.00
_space_group_name_H-M_alt 'F -4 3 m'
_space_group_IT_number 216
_space_group_name_Hall 'F -4 2 3'
loop_
_atom_site_label
_atom_site_type_symbol
_atom_site_fract_x
_atom_site_fract_y
_atom_site_fract_z
Pu1 Pu 0.0000 0.0000 0.0000
Nb1 Nb 0.2500 0.2500 0.2500
Sn1 Sn 0.0000 0.0000 0.5000